Entry from Alexandria via LeMat-Bulk: HfMnCo2O6 after structural relaxation (GGA+U).

Cell lengths 5.1321, 5.0686, 5.5275 Å; angles 63.73, 61.54, 61.49 degrees
Last column: nearest neighbours and their distance in Å.
Fractional positions:
Co (0.5076, 0.5060, 0.4770)  6 O 1.92-1.98
O (0.8939, 0.6176, 0.2595)  1 Co 1.97, 1 Mn 2.01, 1 Hf 2.05
O (0.4293, 0.7142, 0.7407)  2 Co 1.95-2.03, 1 Mn 1.97
Hf (0.3077, 0.3046, 0.0776)  6 O 2.01-2.21
O (0.1308, 0.4142, 0.7489)  2 Co 1.92-1.99, 1 Mn 2.14
O (0.7097, 0.1222, 0.7331)  2 Co 1.97-2.05, 1 Mn 1.98, 1 Hf 2.18
Co (0.0211, 0.0276, 0.9164)  5 O 1.99-2.23
Mn (0.8198, 0.8154, 0.5410)  5 O 1.97-2.14
O (0.2321, 0.8870, 0.2800)  1 Co 1.98, 1 Mn 2.01, 1 Hf 2.04
O (0.6097, 0.2527, 0.2410)  1 Co 1.95, 1 Hf 2.01

Results
VASP energy: -7.57 eV/atom
symmetry: No. 1